1.
Density functional theory data (PBE) for a relaxed LaErCN2O2 crystal.

Unit cell a=3.8171 b=3.8171 c=8.2446 alpha=90.00 beta=90.00 gamma=120.00
Space group P3m1 (No. 156)
One atom of each set of equivalent atoms:
La: 0.0000 0.0000 0.0000 (multiplicity 1)
Er: 0.6667 0.3333 0.6407 (multiplicity 1)
C: 0.3333 0.6667 0.3280 (multiplicity 1)
N: 0.3333 0.6667 0.1779 (multiplicity 1)
N: 0.3333 0.6667 0.4777 (multiplicity 1)
O: 0.0000 0.0000 0.7050 (multiplicity 1)
O: 0.6667 0.3333 0.9101 (multiplicity 1)

Values from the calculation:
The total energy is -60.3 eV for the cell shown. The calculation puts the total magnetic moment at 0.0 μB per formula unit.

2.
Density functional theory data (PBE) for a relaxed LiFeAgBi crystal.

Unit cell a=6.5615 b=6.5615 c=6.5615 alpha=90.00 beta=90.00 gamma=90.00
Space group F-43m (No. 216)
One atom of each set of equivalent atoms:
Li: 0.0000 0.0000 0.0000 (multiplicity 4)
Fe: 0.0000 0.0000 0.5000 (multiplicity 4)
Ag: 0.2500 0.2500 0.7500 (multiplicity 4)
Bi: 0.2500 0.2500 0.2500 (multiplicity 4)

Values from the calculation:
The total energy is -66.5 eV for the cell shown. The calculation puts the total magnetic moment at 2.6 μB per formula unit.

3.
Density functional theory data (PBE) for a relaxed TbTm2Al3AgPt2 crystal.

Unit cell a=3.8744 b=12.7195 c=7.3145 alpha=90.00 beta=90.00 gamma=90.00
Space group Amm2 (No. 38)
One atom of each set of equivalent atoms:
Tb: 0.0000 0.0000 0.0000 (multiplicity 2)
Tm: 0.0000 0.2070 0.6200 (multiplicity 4)
Al: 0.5000 0.0000 0.6722 (multiplicity 2)
Al: 0.5000 0.1304 0.2851 (multiplicity 4)
Ag: 0.0000 0.0000 0.4166 (multiplicity 2)
Pt: 0.5000 0.1690 0.9126 (multiplicity 4)

Values from the calculation:
The total energy is -95.4 eV for the cell shown. The calculation puts the total magnetic moment at 0.0 μB per formula unit.

4.
Density functional theory data (PBE) for a relaxed LiLuNO crystal.

Unit cell a=3.6865 b=6.4614 c=4.4336 alpha=90.00 beta=90.00 gamma=90.00
Space group Pmc2_1 (No. 26)
One atom of each set of equivalent atoms:
Li: 0.0000 0.1486 0.0000 (multiplicity 2)
Lu: 0.5000 0.3043 0.4951 (multiplicity 2)
N: 0.5000 0.3484 0.9947 (multiplicity 2)
O: 0.0000 0.1501 0.4915 (multiplicity 2)

Values from the calculation:
The total energy is -52.4 eV for the cell shown. The calculation puts the total magnetic moment at 0.8 μB per formula unit.

5.
Density functional theory data (PBE) for a relaxed NdTmBi crystal.

Unit cell a=4.5854 b=4.5857 c=8.7847 alpha=90.00 beta=90.04 gamma=90.00
Space group P2_1/m (No. 11)
One atom of each set of equivalent atoms:
Nd: 0.2494 0.2500 0.1514 (multiplicity 2)
Tm: 0.2500 0.7500 0.5000 (multiplicity 2)
Bi: 0.2506 0.2500 0.7728 (multiplicity 2)

Values from the calculation:
The total energy is -30.5 eV for the cell shown. The calculation puts the total magnetic moment at 0.0 μB per formula unit.

6.
Density functional theory data (PBE) for a relaxed AgPbSF crystal.

Unit cell a=6.5792 b=7.0395 c=7.0546 alpha=90.00 beta=90.00 gamma=90.00
Space group P2_12_12_1 (No. 19)
One atom of each set of equivalent atoms:
Ag: 0.0541 0.1530 0.3305 (multiplicity 4)
Pb: 0.0529 0.6348 0.6536 (multiplicity 4)
S: 0.1680 0.9151 0.0944 (multiplicity 4)
F: 0.1588 0.4048 0.9202 (multiplicity 4)

Values from the calculation:
The total energy is -65.4 eV for the cell shown.

7.
Density functional theory data (PBE) for a relaxed ZrFeBPt crystal.

Unit cell a=6.0445 b=6.0445 c=6.0445 alpha=90.00 beta=90.00 gamma=90.00
Space group F-43m (No. 216)
One atom of each set of equivalent atoms:
Zr: 0.0000 0.0000 0.0000 (multiplicity 4)
Fe: 0.2500 0.2500 0.7500 (multiplicity 4)
B: 0.0000 0.0000 0.5000 (multiplicity 4)
Pt: 0.2500 0.2500 0.2500 (multiplicity 4)

Values from the calculation:
The total energy is -116.0 eV for the cell shown. The calculation puts the total magnetic moment at 1.0 μB per formula unit.

8.
Density functional theory data (PBE) for a relaxed TbGeNO crystal.

Unit cell a=5.4944 b=8.1729 c=5.3168 alpha=90.00 beta=90.00 gamma=90.00
Space group Pca2_1 (No. 29)
One atom of each set of equivalent atoms:
Tb: 0.0086 0.1383 0.0000 (multiplicity 4)
Ge: 0.0471 0.6111 0.9998 (multiplicity 4)
N: 0.1089 0.5871 0.6228 (multiplicity 4)
O: 0.2476 0.9932 0.2474 (multiplicity 4)

Values from the calculation:
The total energy is -116.8 eV for the cell shown. The calculation puts the total magnetic moment at 0.0 μB per formula unit.

9.
Density functional theory data (PBE) for a relaxed Pr2SmNi4Sn4 crystal.

Unit cell a=4.5294 b=6.9882 c=14.6356 alpha=90.00 beta=90.00 gamma=90.00
Space group Immm (No. 71)
One atom of each set of equivalent atoms:
Pr: 0.0000 0.0000 0.1327 (multiplicity 4)
Sm: 0.0000 0.5000 0.0000 (multiplicity 2)
Ni: 0.0000 0.1866 0.3258 (multiplicity 8)
Sn: 0.0000 0.2936 0.5000 (multiplicity 4)
Sn: 0.0000 0.5000 0.2155 (multiplicity 4)

Values from the calculation:
The total energy is -116.7 eV for the cell shown. The calculation puts the total magnetic moment at 0.0 μB per formula unit.

10.
Density functional theory data (PBE) for a relaxed La2GdSb3 crystal.

Unit cell a=4.5557 b=4.5557 c=11.1781 alpha=90.00 beta=90.00 gamma=120.00
Space group P-3m1 (No. 164)
One atom of each set of equivalent atoms:
La: 0.3333 0.6667 0.3284 (multiplicity 2)
Gd: 0.0000 0.0000 0.0000 (multiplicity 1)
Sb: 0.0000 0.0000 0.5000 (multiplicity 1)
Sb: 0.3333 0.6667 0.8425 (multiplicity 2)

Values from the calculation:
The total energy is -34.3 eV for the cell shown. The calculation puts the total magnetic moment at 0.0 μB per formula unit.

11.
Density functional theory data (PBE) for a relaxed LuMgHgAu crystal.

Unit cell a=6.8824 b=6.8824 c=6.8824 alpha=90.00 beta=90.00 gamma=90.00
Space group F-43m (No. 216)
One atom of each set of equivalent atoms:
Lu: 0.0000 0.0000 0.0000 (multiplicity 4)
Mg: 0.2500 0.2500 0.7500 (multiplicity 4)
Hg: 0.2500 0.2500 0.2500 (multiplicity 4)
Au: 0.0000 0.0000 0.5000 (multiplicity 4)

Values from the calculation:
The total energy is -43.8 eV for the cell shown. The calculation puts the total magnetic moment at 0.0 μB per formula unit.

12.
Density functional theory data (PBE) for a relaxed HoErIn2Fe4 crystal.

Unit cell a=3.9755 b=5.0232 c=7.2437 alpha=90.00 beta=90.00 gamma=90.00
Space group Pmm2 (No. 25)
One atom of each set of equivalent atoms:
Ho: 0.0000 0.0000 0.0000 (multiplicity 1)
Er: 0.0000 0.5000 0.4196 (multiplicity 1)
In: 0.5000 0.0000 0.3613 (multiplicity 1)
In: 0.5000 0.5000 0.0581 (multiplicity 1)
Fe: 0.0000 0.0000 0.6258 (multiplicity 1)
Fe: 0.0000 0.5000 0.7932 (multiplicity 1)
Fe: 0.5000 0.2501 0.7095 (multiplicity 2)

Values from the calculation:
The total energy is -49.7 eV for the cell shown. The calculation puts the total magnetic moment at 7.5 μB per formula unit.

Repeat the twelfth record exactly.
Density functional theory data (PBE) for a relaxed HoErIn2Fe4 crystal.

Unit cell a=3.9755 b=5.0232 c=7.2437 alpha=90.00 beta=90.00 gamma=90.00
Space group Pmm2 (No. 25)
One atom of each set of equivalent atoms:
Ho: 0.0000 0.0000 0.0000 (multiplicity 1)
Er: 0.0000 0.5000 0.4196 (multiplicity 1)
In: 0.5000 0.0000 0.3613 (multiplicity 1)
In: 0.5000 0.5000 0.0581 (multiplicity 1)
Fe: 0.0000 0.0000 0.6258 (multiplicity 1)
Fe: 0.0000 0.5000 0.7932 (multiplicity 1)
Fe: 0.5000 0.2501 0.7095 (multiplicity 2)

Values from the calculation:
The total energy is -49.7 eV for the cell shown. The calculation puts the total magnetic moment at 7.5 μB per formula unit.